1.
Density functional theory data (PBE-GGA) for Pr4YGe4 after structural relaxation.

Computed properties:
Total moment   0.00 μB/cell
V   28.70 Å³ per atom
Fermi-level density of states   1.0063 states/eV per atom
Space-group type   P4_2/n
ΔE_f   -599.1 meV/atom

Cell lengths 6.177, 9.145, 9.145 Å; angles 90.00, 90.00, 90.00 degrees
Positions (direct):
1 Pr 0.368 0.302 0.920
2 Pr 0.868 0.580 0.802
3 Pr 0.368 0.698 0.080
4 Pr 0.868 0.420 0.198
5 Pr 0.632 0.920 0.698
6 Pr 0.132 0.198 0.580
7 Pr 0.132 0.802 0.420
8 Pr 0.632 0.080 0.302
9 Ge 0.857 0.263 0.878
10 Ge 0.643 0.763 0.378
11 Ge 0.143 0.122 0.263
12 Ge 0.143 0.878 0.737
13 Ge 0.857 0.737 0.122
14 Ge 0.643 0.237 0.622
15 Ge 0.357 0.622 0.763
16 Ge 0.357 0.378 0.237
17 Y 0.500 0.500 0.500
18 Y 0.000 0.000 0.000

=====

2.
Density functional theory data (PBE-GGA) for Pr3Y3Ge4 after structural relaxation.

Computed properties:
Total moment   0.00 μB/cell
V   26.14 Å³ per atom
Fermi-level density of states   0.8255 states/eV per atom
Space-group type   Amm2
ΔE_f   -719.6 meV/atom

Cell lengths 4.159, 7.930, 7.930 Å; angles 87.87, 90.00, 90.00 degrees
Positions (direct):
1 Ge 0.000 0.386 0.614
2 Ge 0.000 0.125 0.136
3 Ge 0.000 0.624 0.376
4 Ge 0.000 0.864 0.875
5 Y 0.500 0.828 0.172
6 Y 0.500 0.333 0.329
7 Y 0.500 0.671 0.667
8 Pr 0.500 0.171 0.829
9 Pr 0.000 0.497 0.999
10 Pr 0.000 0.001 0.503

=====

3.
Density functional theory data (PBE-GGA) for PrYGe4 after structural relaxation.

Computed properties:
Total moment   0.00 μB/cell
V   23.00 Å³ per atom
Fermi-level density of states   0.4049 states/eV per atom
Space-group type   Pbam
ΔE_f   -564.6 meV/atom

Cell lengths 4.120, 7.498, 17.868 Å; angles 90.00, 90.00, 90.00 degrees
Positions (direct):
1 Ge 0.500 0.072 0.063
2 Ge 0.500 0.580 0.935
3 Ge 0.500 0.522 0.792
4 Ge 0.500 0.920 0.435
5 Ge 0.500 0.690 0.670
6 Ge 0.500 0.572 0.437
7 Ge 0.500 0.022 0.708
8 Ge 0.500 0.080 0.565
9 Ge 0.500 0.310 0.330
10 Ge 0.500 0.928 0.937
11 Ge 0.500 0.420 0.065
12 Ge 0.500 0.810 0.170
13 Ge 0.500 0.428 0.563
14 Ge 0.500 0.190 0.830
15 Ge 0.500 0.478 0.208
16 Ge 0.500 0.978 0.292
17 Y 0.000 0.240 0.453
18 Y 0.000 0.260 0.953
19 Y 0.000 0.740 0.047
20 Y 0.000 0.760 0.547
21 Pr 0.000 0.668 0.311
22 Pr 0.000 0.168 0.189
23 Pr 0.000 0.332 0.689
24 Pr 0.000 0.832 0.811

=====

4.
Density functional theory data (PBE-GGA) for PrYGe after structural relaxation.

Computed properties:
Total moment   0.00 μB/cell
V   29.61 Å³ per atom
Energy above the lowest structure with this stoichiometry   0.019 eV per atom
Fermi-level density of states   0.8870 states/eV per atom
Space-group type   F-43m
ΔE_f   -542.6 meV/atom

Cell lengths 5.008, 5.008, 5.008 Å; angles 60.00, 60.00, 60.00 degrees
Positions (direct):
1 Y 0.000 0.000 0.000
2 Pr 0.500 0.500 0.500
3 Ge 0.250 0.250 0.250

=====

5.
Density functional theory data (PBE-GGA) for PrY2Ge after structural relaxation.

Computed properties:
Total moment   0.00 μB/cell
V   30.72 Å³ per atom
Energy above the lowest structure with this stoichiometry   0.011 eV per atom
Fermi-level density of states   1.3088 states/eV per atom
Space-group type   R-3m
ΔE_f   -267.3 meV/atom

Cell lengths 3.787, 3.787, 10.136 Å; angles 79.23, 79.23, 60.00 degrees
Positions (direct):
1 Pr 0.500 0.500 0.500
2 Ge 0.000 0.000 0.000
3 Y 0.270 0.270 0.190
4 Y 0.730 0.730 0.810

=====

6.
Density functional theory data (PBE-GGA) for PrY2Ge2 after structural relaxation.

Computed properties:
Total moment   0.00 μB/cell
V   26.85 Å³ per atom
Fermi-level density of states   1.0374 states/eV per atom
Space-group type   C2/m
ΔE_f   -596.6 meV/atom

Cell lengths 3.857, 5.798, 6.436 Å; angles 101.65, 107.44, 90.00 degrees
Positions (direct):
1 Ge 0.289 0.885 0.578
2 Ge 0.711 0.115 0.422
3 Y 0.641 0.569 0.282
4 Y 0.359 0.431 0.718
5 Pr 0.000 0.000 0.000

=====

7.
Density functional theory data (PBE-GGA) for Pr2YGe after structural relaxation.

Computed properties:
Total moment   0.00 μB/cell
V   33.06 Å³ per atom
Energy above the lowest structure with this stoichiometry   0.505 eV per atom
Fermi-level density of states   0.9330 states/eV per atom
Space-group type   R-3m
ΔE_f   178.3 meV/atom

Cell lengths 3.590, 3.590, 12.031 Å; angles 81.42, 81.42, 60.00 degrees
Positions (direct):
1 Ge 0.000 0.000 0.000
2 Y 0.500 0.500 0.500
3 Pr 0.916 0.916 0.252
4 Pr 0.084 0.084 0.748

=====

8.
Density functional theory data (PBE-GGA) for Pr2YGe2 after structural relaxation.

Computed properties:
Total moment   0.00 μB/cell
V   27.47 Å³ per atom
Energy above the lowest structure with this stoichiometry   0.067 eV per atom
Fermi-level density of states   0.6329 states/eV per atom
Space-group type   C2/m
ΔE_f   -716.5 meV/atom

Cell lengths 4.461, 6.694, 10.108 Å; angles 78.10, 77.25, 70.54 degrees
Positions (direct):
1 Y 0.223 0.918 0.636
2 Y 0.777 0.082 0.364
3 Ge 0.015 0.860 0.110
4 Ge 0.116 0.327 0.441
5 Ge 0.985 0.140 0.890
6 Ge 0.884 0.673 0.559
7 Pr 0.485 0.343 0.687
8 Pr 0.679 0.731 0.911
9 Pr 0.515 0.657 0.313
10 Pr 0.321 0.269 0.089

=====

9.
Density functional theory data (PBE-GGA) for PrY2Zn2Ge2 after structural relaxation.

Computed properties:
Total moment   0.00 μB/cell
V   24.34 Å³ per atom
Fermi-level density of states   1.0213 states/eV per atom
Space-group type   R-3m
ΔE_f   -481.9 meV/atom

Cell lengths 4.167, 4.167, 11.581 Å; angles 79.63, 79.63, 60.00 degrees
Positions (direct):
1 Ge 0.735 0.735 0.795
2 Ge 0.265 0.265 0.205
3 Y 0.124 0.124 0.629
4 Y 0.876 0.876 0.371
5 Zn 0.606 0.606 0.182
6 Zn 0.394 0.394 0.818
7 Pr 0.000 0.000 0.000

=====

10.
Density functional theory data (PBE-GGA) for Pr2YZn2Ge2 after structural relaxation.

Computed properties:
Total moment   0.90 μB/cell
V   24.95 Å³ per atom
Fermi-level density of states   0.7438 states/eV per atom
Space-group type   R-3m
ΔE_f   -488.8 meV/atom

Cell lengths 4.184, 4.184, 11.769 Å; angles 79.76, 79.76, 60.00 degrees
Positions (direct):
1 Ge 0.724 0.724 0.829
2 Ge 0.276 0.276 0.171
3 Pr 0.121 0.121 0.638
4 Pr 0.879 0.879 0.362
5 Zn 0.394 0.394 0.817
6 Zn 0.606 0.606 0.183
7 Y 0.000 0.000 0.000

=====

11.
Density functional theory data (PBE-GGA) for PrYZnGe after structural relaxation.

Computed properties:
Total moment   0.00 μB/cell
V   23.95 Å³ per atom
Energy above the lowest structure with this stoichiometry   0.079 eV per atom
Fermi-level density of states   0.6443 states/eV per atom
Space-group type   F-43m
ΔE_f   -525.1 meV/atom

Cell lengths 5.136, 5.136, 5.136 Å; angles 60.00, 60.00, 60.00 degrees
Positions (direct):
1 Y 0.500 0.500 0.500
2 Pr 0.000 0.000 0.000
3 Zn 0.750 0.750 0.750
4 Ge 0.250 0.250 0.250

=====

12.
Density functional theory data (PBE-GGA) for PrYZnGe after structural relaxation.

Computed properties:
Total moment   0.00 μB/cell
V   24.97 Å³ per atom
Energy above the lowest structure with this stoichiometry   0.000 eV per atom
Fermi-level density of states   1.0067 states/eV per atom
Space-group type   Amm2
ΔE_f   -604.4 meV/atom

Cell lengths 4.270, 4.145, 6.034 Å; angles 90.00, 110.72, 90.00 degrees
Positions (direct):
1 Zn 0.569 0.500 0.138
2 Ge 0.424 0.000 0.847
3 Pr 0.145 0.000 0.291
4 Y 0.862 0.500 0.725

=====

13.
Density functional theory data (PBE-GGA) for Pr2Zn6Ge3 after structural relaxation.

Computed properties:
Total moment   0.00 μB/cell
V   19.20 Å³ per atom
Fermi-level density of states   0.1367 states/eV per atom
Space-group type   P-62m
ΔE_f   -419.7 meV/atom

Cell lengths 7.685, 7.685, 4.130 Å; angles 90.00, 90.00, 120.00 degrees
Positions (direct):
1 Pr 0.333 0.667 0.000
2 Pr 0.667 0.333 0.000
3 Ge 0.618 0.618 0.500
4 Ge 0.382 0.000 0.500
5 Ge 0.000 0.382 0.500
6 Zn 0.288 0.288 0.500
7 Zn 0.000 0.189 0.000
8 Zn 0.811 0.811 0.000
9 Zn 0.189 0.000 0.000
10 Zn 0.000 0.712 0.500
11 Zn 0.712 0.000 0.500

=====

14.
Density functional theory data (PBE-GGA) for Pr2ZnGe3 after structural relaxation.

Computed properties:
Total moment   0.00 μB/cell
V   22.62 Å³ per atom
Fermi-level density of states   0.2810 states/eV per atom
Space-group type   Pmm2
ΔE_f   -655.7 meV/atom

Cell lengths 4.225, 4.351, 7.383 Å; angles 90.00, 90.00, 90.00 degrees
Positions (direct):
1 Zn 0.500 0.500 0.328
2 Ge 0.500 0.500 0.660
3 Ge 0.500 0.000 0.836
4 Ge 0.500 0.000 0.176
5 Pr 0.000 0.000 0.506
6 Pr 0.000 0.500 0.994

=====

15.
Density functional theory data (PBE-GGA) for Pr2Zn3Ge4 after structural relaxation.

Computed properties:
Total moment   0.00 μB/cell
V   20.22 Å³ per atom
Fermi-level density of states   0.4783 states/eV per atom
Space-group type   Cmce
ΔE_f   -433.5 meV/atom

Cell lengths 5.924, 7.925, 8.297 Å; angles 90.00, 110.91, 90.00 degrees
Positions (direct):
1 Pr 0.385 0.083 0.769
2 Pr 0.115 0.583 0.231
3 Pr 0.885 0.417 0.769
4 Pr 0.615 0.917 0.231
5 Ge 0.311 0.453 0.621
6 Ge 0.689 0.547 0.379
7 Ge 0.189 0.953 0.379
8 Ge 0.299 0.250 0.098
9 Ge 0.811 0.047 0.621
10 Ge 0.201 0.750 0.902
11 Ge 0.701 0.750 0.902
12 Ge 0.799 0.250 0.098
13 Zn 0.000 0.000 0.000
14 Zn 0.037 0.750 0.574
15 Zn 0.963 0.250 0.426
16 Zn 0.463 0.250 0.426
17 Zn 0.537 0.750 0.574
18 Zn 0.500 0.500 0.000

=====

16.
Density functional theory data (PBE-GGA) for Pr2Zn3Ge after structural relaxation.

Computed properties:
Total moment   0.00 μB/cell
V   22.34 Å³ per atom
Energy above the lowest structure with this stoichiometry   0.000 eV per atom
Fermi-level density of states   0.7583 states/eV per atom
Space-group type   Fmmm
ΔE_f   -510.7 meV/atom

Cell lengths 5.921, 5.921, 8.645 Å; angles 107.08, 107.08, 98.18 degrees
Positions (direct):
1 Zn 0.166 0.166 0.333
2 Zn 0.334 0.831 0.165
3 Zn 0.831 0.334 0.165
4 Zn 0.666 0.169 0.835
5 Zn 0.834 0.834 0.667
6 Zn 0.169 0.666 0.835
7 Ge 0.666 0.666 0.332
8 Ge 0.334 0.334 0.668
9 Pr 0.755 0.755 0.000
10 Pr 0.250 0.750 0.500
11 Pr 0.245 0.245 0.000
12 Pr 0.750 0.250 0.500

=====

17.
Density functional theory data (PBE-GGA) for Pr3Zn9Ge2 after structural relaxation.

Computed properties:
Total moment   0.00 μB/cell
V   19.60 Å³ per atom
Fermi-level density of states   0.5046 states/eV per atom
Space-group type   Immm
ΔE_f   -352.9 meV/atom

Cell lengths 4.408, 8.319, 8.319 Å; angles 72.22, 74.64, 74.64 degrees
Positions (direct):
1 Zn 0.000 0.500 0.500
2 Zn 0.336 0.293 0.034
3 Zn 0.857 0.872 0.413
4 Zn 0.143 0.587 0.128
5 Zn 0.664 0.707 0.966
6 Zn 0.664 0.966 0.707
7 Zn 0.336 0.034 0.293
8 Zn 0.857 0.413 0.872
9 Zn 0.143 0.128 0.587
10 Ge 0.500 0.716 0.284
11 Ge 0.500 0.284 0.716
12 Pr 0.687 0.313 0.313
13 Pr 0.313 0.687 0.687
14 Pr 0.000 0.000 0.000

=====

18.
Density functional theory data (PBE-GGA) for Pr4Zn3Ge after structural relaxation.

Computed properties:
Total moment   0.00 μB/cell
V   25.59 Å³ per atom
Fermi-level density of states   1.0471 states/eV per atom
Space-group type   R-3m
ΔE_f   -409.6 meV/atom

Cell lengths 5.236, 5.236, 9.136 Å; angles 73.35, 73.35, 60.00 degrees
Positions (direct):
1 Pr 0.373 0.373 0.880
2 Pr 0.627 0.627 0.120
3 Pr 0.877 0.877 0.369
4 Pr 0.123 0.123 0.631
5 Ge 0.000 0.000 0.000
6 Zn 0.244 0.244 0.268
7 Zn 0.756 0.756 0.732
8 Zn 0.500 0.500 0.500

=====

19.
Density functional theory data (PBE-GGA) for PrZnGe2 after structural relaxation.

Computed properties:
Total moment   0.00 μB/cell
V   21.68 Å³ per atom
Fermi-level density of states   0.4954 states/eV per atom
Space-group type   R-3m
ΔE_f   -359.1 meV/atom

Cell lengths 4.423, 4.423, 5.719 Å; angles 67.25, 67.25, 60.00 degrees
Positions (direct):
1 Ge 0.785 0.785 0.644
2 Ge 0.215 0.215 0.356
3 Pr 0.000 0.000 0.000
4 Zn 0.500 0.500 0.500

=====

20.
Density functional theory data (PBE-GGA) for PrZn11Ge after structural relaxation.

Computed properties:
Total moment   0.00 μB/cell
V   16.59 Å³ per atom
Fermi-level density of states   0.3526 states/eV per atom
Space-group type   C2/m
ΔE_f   -136.5 meV/atom

Cell lengths 5.324, 6.893, 6.952 Å; angles 81.13, 67.49, 66.25 degrees
Positions (direct):
1 Zn 0.500 0.000 0.500
2 Zn 0.727 0.786 0.780
3 Zn 0.273 0.214 0.220
4 Zn 0.000 0.000 0.500
5 Zn 0.985 0.646 0.363
6 Zn 0.507 0.786 0.220
7 Zn 0.348 0.646 0.637
8 Zn 0.015 0.354 0.637
9 Zn 0.652 0.354 0.363
10 Zn 0.493 0.214 0.780
11 Zn 0.000 0.500 0.000
12 Pr 0.000 0.000 0.000
13 Ge 0.500 0.500 0.000

=====

21.
Density functional theory data (PBE-GGA) for Pr3ZnGe3 after structural relaxation.

Computed properties:
Total moment   0.33 μB/cell
V   24.67 Å³ per atom
Fermi-level density of states   0.7974 states/eV per atom
Space-group type   Imm2
ΔE_f   -733.1 meV/atom

Cell lengths 4.145, 4.445, 9.855 Å; angles 103.03, 102.14, 90.00 degrees
Positions (direct):
1 Ge 0.856 0.356 0.713
2 Ge 0.148 0.648 0.297
3 Ge 0.562 0.562 0.124
4 Pr 0.316 0.816 0.632
5 Pr 0.003 0.003 0.006
6 Pr 0.683 0.183 0.365
7 Zn 0.432 0.432 0.863

=====

22.
Density functional theory data (PBE-GGA) for PrZnGe after structural relaxation.

Computed properties:
Total moment   0.00 μB/cell
V   22.55 Å³ per atom
Fermi-level density of states   0.5163 states/eV per atom
Space-group type   P-6m2
ΔE_f   -675.1 meV/atom

Cell lengths 4.296, 4.264, 4.264 Å; angles 120.00, 90.00, 90.00 degrees
Positions (direct):
1 Ge 0.167 0.000 0.000
2 Zn 0.166 0.667 0.333
3 Pr 0.667 0.333 0.667

=====

23.
Density functional theory data (PBE-GGA) for Pr3Zn4Ge2 after structural relaxation.

Computed properties:
Total moment   0.00 μB/cell
V   22.46 Å³ per atom
Fermi-level density of states   0.5938 states/eV per atom
Space-group type   C2/m
ΔE_f   -568.5 meV/atom

Cell lengths 4.378, 5.986, 8.650 Å; angles 105.42, 90.00, 111.45 degrees
Positions (direct):
1 Zn 0.741 0.483 0.070
2 Zn 0.028 0.055 0.366
3 Zn 0.972 0.945 0.634
4 Zn 0.259 0.517 0.930
5 Pr 0.000 0.000 0.000
6 Pr 0.327 0.654 0.344
7 Pr 0.673 0.346 0.656
8 Ge 0.611 0.221 0.275
9 Ge 0.389 0.779 0.725

=====

24.
Density functional theory data (PBE-GGA) for Pr2Zn3Ge after structural relaxation.

Computed properties:
Total moment   0.00 μB/cell
V   22.78 Å³ per atom
Energy above the lowest structure with this stoichiometry   0.017 eV per atom
Fermi-level density of states   0.8050 states/eV per atom
Space-group type   Pmm2
ΔE_f   -494.2 meV/atom

Cell lengths 4.113, 4.338, 7.662 Å; angles 90.00, 90.00, 90.00 degrees
Positions (direct):
1 Zn 0.500 0.500 0.670
2 Zn 0.500 0.000 0.163
3 Zn 0.500 0.000 0.830
4 Pr 0.000 0.500 0.013
5 Pr 0.000 0.000 0.486
6 Ge 0.500 0.500 0.338